(1)
Tb8Pr2Ho3 | the Alexandria database | PBE-GGA | optimized geometry; raw total energy = -0.16206 Ha/atom; space-group type = Cmmm; Fermi-level density of states = 22.31 states/eV per cell; volume = 442.1 Å³/cell
1.0
3.823 -10.410 0.000
3.823 10.410 0.000
0.000 0.000 5.554
Tb Pr Ho
8 2 3
direct
0.128 0.872 0.000
0.184 0.394 0.500
0.339 0.661 0.000
0.394 0.184 0.500
0.606 0.816 0.500
0.661 0.339 0.000
0.816 0.606 0.500
0.872 0.128 0.000
0.241 0.759 0.500
0.759 0.241 0.500
0.000 0.000 0.500
0.287 0.287 0.000
0.713 0.713 0.000

---

(2)
LiZnPd2 | the Alexandria database | PBE-GGA | optimized geometry; raw total energy = -0.13261 Ha/atom; space-group type = I-42d; Fermi-level density of states = 3.19 states/eV per cell; volume = 123.2 Å³/cell
1.0
-3.365 3.365 2.720
3.365 -3.365 2.720
3.365 3.365 -2.720
Li Zn Pd
2 2 4
direct
0.000 0.000 0.000
0.750 0.250 0.500
0.250 0.750 0.500
0.500 0.500 0.000
0.121 0.125 0.496
0.375 0.879 0.004
0.629 0.625 0.504
0.875 0.371 0.996

---

Number 1: energy relative to the elements 0.231 eV/atom. Number 2: energy relative to the elements -0.215 eV/atom.